1.
## TaIrAu2 (PBE)

Data for TaIrAu2 after structural relaxation.

Cell: 2.929 3.970 5.823 Å, 90.00 90.00 90.00°
Atoms (fractional coordinates):
Ir: 0.000 0.000 0.520
Au: 0.000 0.000 0.001
Au: 0.500 0.500 0.249
Ta: 0.500 0.500 0.730

- offset from the most stable computed form (eV/atom) = 0.0000
- spin magnetization (μB per cell) = 0.00
- ΔE_f (eV per formula unit) = -0.58
- electronic total energy (eV/atom) = -6.962

=====

2.
## TaIr2Au (PBE)

Data for TaIr2Au after structural relaxation.

Cell: 7.210 7.210 5.807 Å, 51.62 51.62 90.00°
Atoms (fractional coordinates):
Ta: 0.250 0.750 0.500
Ir: 0.375 0.405 0.750
Ir: 0.155 0.625 0.250
Au: 0.000 0.000 0.000
Ir: 0.595 0.125 0.250
Ir: 0.875 0.845 0.750
Au: 0.750 0.250 0.500
Ta: 0.500 0.500 0.000

- spin magnetization (μB per cell) = 0.00
- ΔE_f (eV per formula unit) = 0.72
- electronic total energy (eV/atom) = -8.032

=====

3.
## TaIrAu2 (PBE)

Data for TaIrAu2 after structural relaxation.

Cell: 7.469 7.469 5.913 Å, 50.83 50.83 90.00°
Atoms (fractional coordinates):
Au: 0.875 0.875 0.750
Au: 0.375 0.375 0.750
Au: 0.125 0.625 0.250
Ta: 0.500 0.500 0.000
Ir: 0.750 0.250 0.500
Ta: 0.250 0.750 0.500
Ir: 0.000 0.000 0.000
Au: 0.625 0.125 0.250

- offset from the most stable computed form (eV/atom) = 0.6419
- spin magnetization (μB per cell) = 0.00
- ΔE_f (eV per formula unit) = 1.99
- electronic total energy (eV/atom) = -6.320

=====

4.
## Tb3IrAu2 (PBE)

Data for Tb3IrAu2 after structural relaxation.

Cell: 5.025 7.910 7.181 Å, 90.00 90.00 71.48°
Atoms (fractional coordinates):
Tb: 0.171 0.659 0.764
Au: 0.667 0.666 0.500
Tb: 0.500 0.000 0.759
Tb: 0.171 0.659 0.236
Au: 0.000 0.000 0.500
Tb: 0.829 0.341 0.236
Ir: 0.666 0.668 0.000
Tb: 0.500 0.000 0.241
Au: 0.333 0.334 0.500
Au: 0.000 0.000 0.000
Tb: 0.829 0.341 0.764
Ir: 0.334 0.332 0.000

- offset from the most stable computed form (eV/atom) = 0.0000
- spin magnetization (μB per cell) = 0.00
- ΔE_f (eV per formula unit) = -5.01
- electronic total energy (eV/atom) = -5.720

=====

5.
## Tb4Ir3Au (PBE)

Data for Tb4Ir3Au after structural relaxation.

Cell: 3.531 4.922 9.742 Å, 90.00 90.00 90.00°
Atoms (fractional coordinates):
Ir: 0.500 0.000 0.251
Tb: 0.000 0.000 0.500
Tb: 0.000 0.500 0.739
Au: 0.500 0.500 0.000
Tb: 0.000 0.000 0.000
Tb: 0.000 0.500 0.261
Ir: 0.500 0.000 0.749
Ir: 0.500 0.500 0.500

- spin magnetization (μB per cell) = 0.00
- ΔE_f (eV per formula unit) = -6.39
- electronic total energy (eV/atom) = -6.847

=====

6.
## Tb6IrAu2 (PBE)

Data for Tb6IrAu2 after structural relaxation.

Cell: 6.737 7.388 10.238 Å, 90.00 91.83 90.00°
Atoms (fractional coordinates):
Tb: 0.177 0.320 0.433
Tb: 0.333 0.812 0.437
Ir: 0.500 0.500 0.000
Au: 0.445 0.111 0.261
Tb: 0.677 0.180 0.933
Tb: 0.167 0.312 0.063
Tb: 0.323 0.820 0.067
Tb: 0.855 0.969 0.247
Tb: 0.645 0.469 0.253
Au: 0.945 0.389 0.761
Au: 0.555 0.889 0.739
Ir: 0.000 0.000 0.500
Au: 0.055 0.611 0.239
Tb: 0.145 0.031 0.753
Tb: 0.355 0.531 0.747
Tb: 0.823 0.680 0.567
Tb: 0.833 0.688 0.937
Tb: 0.667 0.188 0.563

- spin magnetization (μB per cell) = 0.00
- ΔE_f (eV per formula unit) = -5.20
- electronic total energy (eV/atom) = -5.377

=====

7.
## Tb8Ir5Au (PBE)

Data for Tb8Ir5Au after structural relaxation.

Cell: 7.524 7.524 7.524 Å, 109.28 109.86 109.28°
Atoms (fractional coordinates):
Tb: 0.635 0.890 0.880
Ir: 0.875 0.883 0.252
Ir: 0.500 0.000 0.500
Tb: 0.740 0.247 0.368
Tb: 0.990 0.110 0.745
Tb: 0.120 0.755 0.010
Ir: 0.368 0.117 0.992
Ir: 0.748 0.623 0.632
Tb: 0.255 0.245 0.365
Tb: 0.507 0.627 0.260
Tb: 0.121 0.753 0.493
Au: 0.250 0.500 0.750
Tb: 0.632 0.373 0.879
Ir: 0.008 0.377 0.125

- spin magnetization (μB per cell) = 0.00
- ΔE_f (eV per formula unit) = -10.70
- electronic total energy (eV/atom) = -6.809

=====

8.
## Tb12Ir5Au3 (PBE)

Data for Tb12Ir5Au3 after structural relaxation.

Cell: 14.558 14.558 14.558 Å, 109.47 109.47 109.47°
Atoms (fractional coordinates):
Tb: 0.213 0.674 0.088
Tb: 0.461 0.674 0.086
Ir: 0.500 0.500 0.000
Ir: 0.625 0.750 0.875
Tb: 0.287 0.875 0.961
Tb: 0.174 0.088 0.713
Tb: 0.375 0.414 0.088
Tb: 0.586 0.625 0.412
Au: 0.875 0.750 0.125
Tb: 0.875 0.287 0.461
Ir: 0.500 0.500 0.500
Tb: 0.213 0.539 0.625
Tb: 0.674 0.461 0.586
Au: 0.375 0.750 0.625
Ir: 0.500 0.000 0.500
Tb: 0.287 0.412 0.826
Ir: 0.750 0.125 0.875
Au: 0.625 0.375 0.750
Ir: 0.375 0.125 0.750
Ir: 0.125 0.750 0.375
Tb: 0.961 0.586 0.174
Au: 0.125 0.250 0.875
Tb: 0.625 0.586 0.912
Tb: 0.088 0.174 0.213
Tb: 0.826 0.912 0.287
Tb: 0.586 0.961 0.674
Au: 0.750 0.375 0.125
Tb: 0.588 0.875 0.414
Ir: 0.125 0.375 0.250
Ir: 0.750 0.625 0.375
Tb: 0.039 0.414 0.826
Tb: 0.039 0.625 0.713
Tb: 0.787 0.461 0.375
Au: 0.625 0.250 0.375
Tb: 0.826 0.914 0.039
Tb: 0.125 0.713 0.539
Tb: 0.412 0.125 0.586
Ir: 0.250 0.375 0.625
Ir: 0.500 0.000 0.000
Tb: 0.912 0.086 0.625
Tb: 0.674 0.213 0.588
Tb: 0.713 0.125 0.039
Au: 0.250 0.125 0.375
Tb: 0.588 0.713 0.674
Ir: 0.000 0.000 0.000
Au: 0.125 0.875 0.750
Ir: 0.000 0.500 0.500
Tb: 0.086 0.174 0.461
Au: 0.250 0.625 0.875
Tb: 0.875 0.588 0.914
Tb: 0.912 0.826 0.787
Au: 0.875 0.125 0.250
Au: 0.750 0.875 0.625
Tb: 0.914 0.826 0.539
Tb: 0.125 0.412 0.086
Tb: 0.539 0.213 0.125
Tb: 0.086 0.912 0.125
Tb: 0.412 0.287 0.326
Ir: 0.000 0.500 0.000
Tb: 0.713 0.588 0.174
Ir: 0.000 0.000 0.500
Tb: 0.787 0.326 0.912
Au: 0.375 0.625 0.250
Ir: 0.250 0.875 0.125
Tb: 0.375 0.961 0.787
Ir: 0.625 0.875 0.250
Tb: 0.414 0.375 0.588
Tb: 0.326 0.539 0.414
Tb: 0.625 0.039 0.213
Tb: 0.174 0.086 0.961
Ir: 0.875 0.250 0.625
Tb: 0.326 0.787 0.412
Tb: 0.088 0.914 0.375
Tb: 0.414 0.039 0.326
Tb: 0.914 0.088 0.875
Tb: 0.461 0.787 0.875
Ir: 0.875 0.625 0.750
Tb: 0.961 0.375 0.287
Ir: 0.375 0.250 0.125
Tb: 0.539 0.326 0.914

- spin magnetization (μB per cell) = 0.00
- ΔE_f (eV per formula unit) = -7.78
- electronic total energy (eV/atom) = -5.874

=====

9.
## Tb5Ir4Au (PBE)

Data for Tb5Ir4Au after structural relaxation.

Cell: 3.454 3.454 17.708 Å, 90.00 90.00 90.00°
Atoms (fractional coordinates):
Ir: 0.000 0.000 0.794
Tb: 0.500 0.500 0.113
Tb: 0.500 0.500 0.887
Au: 0.000 0.000 0.000
Tb: 0.500 0.500 0.306
Ir: 0.000 0.000 0.206
Ir: 0.000 0.000 0.598
Tb: 0.500 0.500 0.694
Ir: 0.000 0.000 0.402
Tb: 0.500 0.500 0.500

- spin magnetization (μB per cell) = 0.20
- ΔE_f (eV per formula unit) = -7.98
- electronic total energy (eV/atom) = -6.985

=====

10.
## Tb4IrAu (PBE)

Data for Tb4IrAu after structural relaxation.

Cell: 6.987 6.970 7.098 Å, 90.00 93.17 90.00°
Atoms (fractional coordinates):
Tb: 0.147 0.341 0.824
Tb: 0.681 0.664 0.655
Ir: 0.000 0.500 0.500
Tb: 0.853 0.659 0.176
Tb: 0.319 0.336 0.345
Tb: 0.647 0.159 0.824
Tb: 0.181 0.836 0.655
Ir: 0.500 0.000 0.500
Au: 0.000 0.000 0.000
Tb: 0.353 0.841 0.176
Au: 0.500 0.500 0.000
Tb: 0.819 0.164 0.345

- offset from the most stable computed form (eV/atom) = 0.0655
- spin magnetization (μB per cell) = 0.00
- ΔE_f (eV per formula unit) = -3.32
- electronic total energy (eV/atom) = -5.663

=====

11.
## Tb4IrAu2 (PBE)

Data for Tb4IrAu2 after structural relaxation.

Cell: 4.998 4.998 8.720 Å, 73.35 73.35 60.00°
Atoms (fractional coordinates):
Au: 0.757 0.757 0.728
Au: 0.243 0.243 0.272
Tb: 0.121 0.121 0.638
Ir: 0.000 0.000 0.000
Tb: 0.371 0.371 0.887
Tb: 0.879 0.879 0.362
Tb: 0.629 0.629 0.113

- spin magnetization (μB per cell) = 0.00
- ΔE_f (eV per formula unit) = -4.85
- electronic total energy (eV/atom) = -5.541

=====

12.
## Tb8Ir3Au2 (PBE)

Data for Tb8Ir3Au2 after structural relaxation.

Cell: 4.873 9.879 8.614 Å, 124.97 90.00 90.00°
Atoms (fractional coordinates):
Tb: 0.500 0.872 0.237
Tb: 0.500 0.365 0.237
Tb: 0.500 0.635 0.763
Au: 0.500 0.257 0.515
Tb: 0.000 0.119 0.238
Tb: 0.000 0.617 0.234
Ir: 0.000 0.747 0.000
Tb: 0.000 0.881 0.762
Ir: 0.500 0.000 0.000
Tb: 0.500 0.128 0.763
Au: 0.500 0.743 0.485
Tb: 0.000 0.383 0.766
Ir: 0.000 0.253 0.000

- spin magnetization (μB per cell) = 0.00
- ΔE_f (eV per formula unit) = -8.54
- electronic total energy (eV/atom) = -6.056